Record 1
GePAuN: optimized geometry, PBE.

Output
* VASP energy: -5.225 eV/atom
* space-group type: P1 (1)
* E above lowest polymorph: 0.097 eV per atom
* E_form (uncorrected): 0.18 eV per atom

Cell lengths 2.770, 5.351, 5.391 Å; angles 113.52, 90.76, 104.96 degrees
Positions (direct):
Ge 0.000 0.000 0.000
P 0.242 0.467 0.414
Au 0.488 0.954 0.495
N 0.721 0.416 0.575

Record 2
Ce2PmI6: optimized geometry, PBE.

Output
* VASP energy: -4.084 eV/atom
* space-group type: C2/m (12)
* E above lowest polymorph: 0.045 eV per atom
* E_form (uncorrected): -1.20 eV per atom

Cell lengths 8.412, 8.412, 13.262 Å; angles 116.97, 116.97, 28.43 degrees
Positions (direct):
Ce 0.179 0.179 0.297
Ce 0.821 0.821 0.703
Pm 0.500 0.500 0.000
I 0.158 0.158 0.538
I 0.284 0.284 0.870
I 0.492 0.492 0.760
I 0.508 0.508 0.240
I 0.716 0.716 0.130
I 0.842 0.842 0.462

Record 3
Th3NpRh12: optimized geometry, PBE.

Output
* VASP energy: -8.363 eV/atom
* energy of formation from the pure elements: -10.4 eV per formula unit
* space-group type: P4/mmm (123)

Cell lengths 4.103, 4.103, 16.436 Å; angles 90.00, 90.00, 90.00 degrees
Positions (direct):
Th 0.000 0.000 0.000
Th 0.000 0.000 0.252
Th 0.000 0.000 0.748
Np 0.000 0.000 0.500
Rh 0.000 0.500 0.127
Rh 0.000 0.500 0.385
Rh 0.000 0.500 0.615
Rh 0.000 0.500 0.873
Rh 0.500 0.000 0.127
Rh 0.500 0.000 0.385
Rh 0.500 0.000 0.615
Rh 0.500 0.000 0.873
Rh 0.500 0.500 0.000
Rh 0.500 0.500 0.254
Rh 0.500 0.500 0.500
Rh 0.500 0.500 0.746

Record 4
BaSrRhO3: optimized geometry, PBE.

Output
* VASP energy: -6.293 eV/atom
* space-group type: C2/m (12)
* E_form (uncorrected): -1.99 eV per atom

Cell lengths 7.222, 7.222, 7.675 Å; angles 105.33, 105.33, 31.35 degrees
Positions (direct):
Ba 0.145 0.145 0.075
Ba 0.855 0.855 0.925
Sr 0.151 0.151 0.572
Sr 0.849 0.849 0.428
Rh 0.500 0.500 0.268
Rh 0.500 0.500 0.732
O 0.000 0.000 0.272
O 0.000 0.000 0.728
O 0.340 0.340 0.655
O 0.342 0.342 0.187
O 0.658 0.658 0.813
O 0.660 0.660 0.345

Record 5
Ca3Si2Pd2: optimized geometry, PBE.

Output
* VASP energy: -4.632 eV/atom
* space-group type: Pbcm (57)
* E_form (uncorrected): -0.74 eV per atom

Cell lengths 5.668, 8.082, 13.349 Å; angles 90.00, 90.00, 90.00 degrees
Positions (direct):
Ca 0.132 0.116 0.106
Ca 0.132 0.116 0.394
Ca 0.132 0.384 0.606
Ca 0.132 0.384 0.894
Ca 0.351 0.740 0.750
Ca 0.351 0.760 0.250
Ca 0.649 0.240 0.750
Ca 0.649 0.260 0.250
Ca 0.868 0.616 0.106
Ca 0.868 0.616 0.394
Ca 0.868 0.884 0.606
Ca 0.868 0.884 0.894
Si 0.165 0.090 0.750
Si 0.165 0.410 0.250
Si 0.389 0.750 0.000
Si 0.389 0.750 0.500
Si 0.611 0.250 0.000
Si 0.611 0.250 0.500
Si 0.835 0.590 0.750
Si 0.835 0.910 0.250
Pd 0.374 0.027 0.589
Pd 0.374 0.027 0.911
Pd 0.374 0.473 0.089
Pd 0.374 0.473 0.411
Pd 0.626 0.527 0.589
Pd 0.626 0.527 0.911
Pd 0.626 0.973 0.089
Pd 0.626 0.973 0.411

Record 6
Ga2FeAsH: optimized geometry, PBE.

Output
* VASP energy: -4.149 eV/atom
* space-group type: P4/mmm (123)

Cell lengths 4.389, 4.389, 3.322 Å; angles 90.00, 90.00, 90.00 degrees
Positions (direct):
Ga 0.000 0.500 0.000
Ga 0.500 0.000 0.000
Fe 0.000 0.000 0.500
As 0.500 0.500 0.500
H 0.000 0.000 0.000

Record 7
La2TiCuSe5: optimized geometry, PBE.

Output
* VASP energy: -5.836 eV/atom
* space-group type: Cmc2_1 (36)
* E_form (uncorrected): -1.47 eV per atom

Cell lengths 8.979, 8.979, 11.875 Å; angles 90.00, 90.00, 153.79 degrees
Positions (direct):
La 0.118 0.882 0.500
La 0.126 0.874 0.115
La 0.874 0.126 0.615
La 0.882 0.118 0.000
Ti 0.188 0.812 0.816
Ti 0.812 0.188 0.316
Cu 0.429 0.571 0.248
Cu 0.571 0.429 0.748
Se 0.049 0.951 0.853
Se 0.293 0.707 0.463
Se 0.302 0.698 0.167
Se 0.347 0.653 0.810
Se 0.499 0.501 0.574
Se 0.501 0.499 0.074
Se 0.653 0.347 0.310
Se 0.698 0.302 0.667
Se 0.707 0.293 0.963
Se 0.951 0.049 0.353

Record 8
NpPaTc: optimized geometry, PBE.

Output
* VASP energy: -10.934 eV/atom
* energy of formation from the pure elements: 0.0 eV per formula unit
* space-group type: I4mm (107)
* E above lowest polymorph: 0.000 eV per atom

Cell lengths 5.568, 5.568, 5.568 Å; angles 143.96, 143.96, 51.88 degrees
Positions (direct):
Np 0.000 0.000 0.000
Pa 0.336 0.336 0.000
Tc 0.668 0.668 0.000